1.
The following is a DFT calculation (PBE) of a geometry-optimized MgBeS structure.

a b c (Å): 3.5294 3.3791 15.5904
angles (deg): 90.00 90.00 90.00
Space group Amm2 (No. 38)
One atom of each set of equivalent atoms:
Mg  0.0000  0.0000  0.0000
Mg  0.0000  0.0000  0.2692
Be  0.5000  0.0000  0.4289
Be  0.5000  0.0000  0.5703
S  0.0000  0.0000  0.6444
S  0.5000  0.0000  0.8405

Results
excess energy over the best structure of this formula in the dataset = 106 meV/atom

---

2.
The following is a DFT calculation (PBE) of a geometry-optimized MgBeS3 structure.

a b c (Å): 4.3810 4.3810 4.3810
angles (deg): 90.00 90.00 90.00
Space group Pm-3m (No. 221)
One atom of each set of equivalent atoms:
Mg  0.0000  0.0000  0.0000
Be  0.5000  0.5000  0.5000
S  0.0000  0.5000  0.5000

Results
excess energy over the best structure of this formula in the dataset = 0 meV/atom

---

3.
The following is a DFT calculation (PBE) of a geometry-optimized MgBeS structure.

a b c (Å): 3.4855 3.6545 16.3665
angles (deg): 90.00 90.00 90.00
Space group Amm2 (No. 38)
One atom of each set of equivalent atoms:
Mg  0.0000  0.0000  0.0000
Mg  0.0000  0.0000  0.2235
Be  0.5000  0.0000  0.6534
Be  0.5000  0.0000  0.7811
S  0.0000  0.0000  0.8470
S  0.5000  0.0000  0.5294

Results
excess energy over the best structure of this formula in the dataset = 66 meV/atom

---

4.
The following is a DFT calculation (PBE) of a geometry-optimized Mg2TaBeS structure.

a b c (Å): 5.5862 5.5862 4.6032
angles (deg): 90.00 90.00 90.00
Space group P4/mmm (No. 123)
One atom of each set of equivalent atoms:
Mg  0.0000  0.5000  0.0000
Ta  0.0000  0.0000  0.0000
Be  0.5000  0.5000  0.5000
S  0.0000  0.0000  0.5000

Results
energy = -3.607 eV per atom

---

5.
The following is a DFT calculation (PBE) of a geometry-optimized MgBe2TcS structure.

a b c (Å): 4.4119 4.4119 4.3984
angles (deg): 90.00 90.00 90.00
Space group P4/mmm (No. 123)
One atom of each set of equivalent atoms:
Mg  0.0000  0.0000  0.0000
Be  0.0000  0.5000  0.5000
Tc  0.5000  0.5000  0.5000
S  0.5000  0.5000  0.0000

Results
energy = -4.294 eV per atom

---

6.
The following is a DFT calculation (PBE) of a geometry-optimized Mg2BeSb structure.

a b c (Å): 9.3740 3.1683 6.1748
angles (deg): 90.00 112.04 90.00
Space group Cm (No. 8)
One atom of each set of equivalent atoms:
Mg  0.0000  0.0000  0.0000
Mg  0.1940  0.0000  0.6661
Be  0.2319  0.5000  0.0301
Sb  0.3861  0.0000  0.3760

Results
excess energy over the best structure of this formula in the dataset = 117 meV/atom

---

7.
The following is a DFT calculation (PBE) of a geometry-optimized MgBeSb structure.

a b c (Å): 4.0450 4.5094 6.9559
angles (deg): 76.80 84.38 84.94
Space group P-1 (No. 2)
One atom of each set of equivalent atoms:
Mg  0.2010  0.2178  0.1706
Be  0.0979  0.7622  0.4685
Sb  0.3406  0.3358  0.7418

Results
excess energy over the best structure of this formula in the dataset = 87 meV/atom

---

8.
The following is a DFT calculation (PBE) of a geometry-optimized MgBeSb structure.

a b c (Å): 3.1702 3.1702 11.7513
angles (deg): 90.00 90.00 90.00
Space group I4mm (No. 107)
One atom of each set of equivalent atoms:
Mg  0.0000  0.0000  0.0000
Be  0.0000  0.0000  0.6382
Sb  0.0000  0.0000  0.2828

Results
excess energy over the best structure of this formula in the dataset = 401 meV/atom

---

9.
The following is a DFT calculation (PBE) of a geometry-optimized MgBe2Sb structure.

a b c (Å): 3.1161 3.1161 6.9328
angles (deg): 90.00 90.00 90.00
Space group P4mm (No. 99)
One atom of each set of equivalent atoms:
Mg  0.0000  0.0000  0.0000
Be  0.0000  0.0000  0.6269
Be  0.5000  0.5000  0.7485
Sb  0.5000  0.5000  0.3661

Results
excess energy over the best structure of this formula in the dataset = 242 meV/atom

---

10.
The following is a DFT calculation (PBE) of a geometry-optimized MgBe3Sb structure.

a b c (Å): 4.7310 4.7310 4.7310
angles (deg): 90.00 90.00 90.00
Space group Pm-3m (No. 221)
One atom of each set of equivalent atoms:
Mg  0.0000  0.0000  0.0000
Be  0.0000  0.5000  0.5000
Sb  0.5000  0.5000  0.5000

Results
excess energy over the best structure of this formula in the dataset = 0 meV/atom

---

11.
The following is a DFT calculation (PBE) of a geometry-optimized MgBe2Sb structure.

a b c (Å): 3.8617 3.8617 8.6863
angles (deg): 90.00 90.00 90.00
Space group I-4m2 (No. 119)
One atom of each set of equivalent atoms:
Mg  0.0000  0.0000  0.0000
Be  0.0000  0.0000  0.5000
Be  0.0000  0.5000  0.2500
Sb  0.0000  0.5000  0.7500

Results
excess energy over the best structure of this formula in the dataset = 268 meV/atom

---

12.
The following is a DFT calculation (PBE) of a geometry-optimized MgBeSb structure.

a b c (Å): 4.0423 4.0423 4.3896
angles (deg): 90.00 90.00 120.00
Space group P3m1 (No. 156)
One atom of each set of equivalent atoms:
Mg  0.0000  0.0000  0.0000
Be  0.3333  0.6667  0.6214
Sb  0.6667  0.3333  0.4864

Results
excess energy over the best structure of this formula in the dataset = 134 meV/atom

---

13.
The following is a DFT calculation (PBE) of a geometry-optimized Mg2BeSb structure.

a b c (Å): 4.2103 4.2103 8.7337
angles (deg): 90.00 90.00 90.00
Space group I4/mmm (No. 139)
One atom of each set of equivalent atoms:
Mg  0.0000  0.5000  0.2500
Be  0.0000  0.0000  0.0000
Sb  0.0000  0.0000  0.5000

Results
excess energy over the best structure of this formula in the dataset = 148 meV/atom

---

14.
The following is a DFT calculation (PBE) of a geometry-optimized Mg2BeSb structure.

a b c (Å): 4.1403 3.9341 5.4426
angles (deg): 90.00 110.03 90.00
Space group Pm (No. 6)
One atom of each set of equivalent atoms:
Mg  0.0000  0.0000  0.0000
Mg  0.2970  0.5000  0.6242
Be  0.5419  0.5000  0.1322
Sb  0.7015  0.0000  0.4231

Results
excess energy over the best structure of this formula in the dataset = 0 meV/atom

---

15.
The following is a DFT calculation (PBE) of a geometry-optimized Mg2BeSb structure.

a b c (Å): 3.5145 3.8599 5.9115
angles (deg): 90.00 90.00 90.00
Space group Pmm2 (No. 25)
One atom of each set of equivalent atoms:
Mg  0.0000  0.0000  0.0000
Mg  0.5000  0.5000  0.2683
Be  0.5000  0.5000  0.7745
Sb  0.0000  0.0000  0.5326

Results
excess energy over the best structure of this formula in the dataset = 215 meV/atom

---

16.
The following is a DFT calculation (PBE) of a geometry-optimized MgBe3Sb structure.

a b c (Å): 4.5219 4.5219 4.5219
angles (deg): 90.00 90.00 90.00
Space group Pm-3m (No. 221)
One atom of each set of equivalent atoms:
Mg  0.0000  0.0000  0.0000
Be  0.0000  0.0000  0.5000
Sb  0.5000  0.5000  0.5000

Results
excess energy over the best structure of this formula in the dataset = 210 meV/atom

---

17.
The following is a DFT calculation (PBE) of a geometry-optimized MgBeSb structure.

a b c (Å): 6.2238 6.2238 6.2238
angles (deg): 90.00 90.00 90.00
Space group F-43m (No. 216)
One atom of each set of equivalent atoms:
Mg  0.0000  0.0000  0.0000
Be  0.2500  0.2500  0.7500
Sb  0.0000  0.0000  0.5000

Results
excess energy over the best structure of this formula in the dataset = 178 meV/atom

---

18.
The following is a DFT calculation (PBE) of a geometry-optimized Mg2BeSb structure.

a b c (Å): 6.9024 6.9024 6.9024
angles (deg): 90.00 90.00 90.00
Space group Fm-3m (No. 225)
One atom of each set of equivalent atoms:
Mg  0.2500  0.2500  0.2500
Be  0.0000  0.0000  0.0000
Sb  0.0000  0.0000  0.5000

Results
excess energy over the best structure of this formula in the dataset = 238 meV/atom

---

19.
The following is a DFT calculation (PBE) of a geometry-optimized MgBe2Sb structure.

a b c (Å): 3.2457 3.2457 23.3399
angles (deg): 90.00 90.00 120.00
Space group R-3m (No. 166, hexagonal axes)
One atom of each set of equivalent atoms:
Mg  0.0000  0.0000  0.0000
Be  0.0000  0.0000  0.2466
Sb  0.0000  0.0000  0.5000

Results
excess energy over the best structure of this formula in the dataset = 389 meV/atom

---

20.
The following is a DFT calculation (PBE) of a geometry-optimized MgBeSb structure.

a b c (Å): 4.1419 4.1419 8.2479
angles (deg): 90.00 90.00 120.00
Space group P3m1 (No. 156)
One atom of each set of equivalent atoms:
Mg  0.0000  0.0000  0.0000
Mg  0.3333  0.6667  0.5300
Be  0.3333  0.6667  0.1903
Be  0.3333  0.6667  0.8852
Sb  0.0000  0.0000  0.3246
Sb  0.6667  0.3333  0.7663

Results
excess energy over the best structure of this formula in the dataset = 48 meV/atom

---

21.
The following is a DFT calculation (PBE) of a geometry-optimized Mg2BeSb structure.

a b c (Å): 3.3225 3.3225 25.8198
angles (deg): 90.00 90.00 120.00
Space group R-3m (No. 166, hexagonal axes)
One atom of each set of equivalent atoms:
Mg  0.0000  0.0000  0.2382
Be  0.0000  0.0000  0.5000
Sb  0.0000  0.0000  0.0000

Results
excess energy over the best structure of this formula in the dataset = 182 meV/atom

---

22.
The following is a DFT calculation (PBE) of a geometry-optimized MgBe2Sb structure.

a b c (Å): 3.6010 3.6865 10.8955
angles (deg): 90.00 90.00 90.00
Space group Imm2 (No. 44)
One atom of each set of equivalent atoms:
Mg  0.0000  0.0000  0.0000
Be  0.0000  0.0000  0.4027
Be  0.0000  0.5000  0.3063
Sb  0.0000  0.5000  0.7408

Results
excess energy over the best structure of this formula in the dataset = 160 meV/atom

---

23.
The following is a DFT calculation (PBE) of a geometry-optimized Mg2BeSb structure.

a b c (Å): 6.8934 6.8934 6.8934
angles (deg): 90.00 90.00 90.00
Space group F-43m (No. 216)
One atom of each set of equivalent atoms:
Mg  0.0000  0.0000  0.0000
Mg  0.2500  0.2500  0.2500
Be  0.0000  0.0000  0.5000
Sb  0.2500  0.2500  0.7500

Results
excess energy over the best structure of this formula in the dataset = 329 meV/atom

---

24.
The following is a DFT calculation (PBE) of a geometry-optimized MgBe2Sb structure.

a b c (Å): 5.5961 7.6743 3.1165
angles (deg): 90.00 90.62 90.00
Space group C2/m (No. 12)
One atom of each set of equivalent atoms:
Mg  0.0000  0.0000  0.0000
Be  0.2500  0.2500  0.5000
Sb  0.0000  0.5000  0.0000

Results
excess energy over the best structure of this formula in the dataset = 332 meV/atom

---

25.
The following is a DFT calculation (PBE) of a geometry-optimized MgBeSb structure.

a b c (Å): 4.0711 4.0711 24.4615
angles (deg): 90.00 90.00 120.00
Space group R3m (No. 160, hexagonal axes)
One atom of each set of equivalent atoms:
Mg  0.0000  0.0000  0.0000
Mg  0.0000  0.0000  0.1669
Be  0.0000  0.0000  0.7847
Be  0.0000  0.0000  0.8836
Sb  0.0000  0.0000  0.4122
Sb  0.0000  0.0000  0.5889

Results
excess energy over the best structure of this formula in the dataset = 0 meV/atom

---

26.
The following is a DFT calculation (PBE) of a geometry-optimized MgBe2Sb structure.

a b c (Å): 4.0023 4.0023 8.1942
angles (deg): 90.00 90.00 90.00
Space group I4/mmm (No. 139)
One atom of each set of equivalent atoms:
Mg  0.0000  0.0000  0.0000
Be  0.0000  0.5000  0.2500
Sb  0.0000  0.0000  0.5000

Results
excess energy over the best structure of this formula in the dataset = 311 meV/atom

---

27.
The following is a DFT calculation (PBE) of a geometry-optimized MgBe2Sb structure.

a b c (Å): 6.4707 6.4707 6.4707
angles (deg): 90.00 90.00 90.00
Space group F-43m (No. 216)
One atom of each set of equivalent atoms:
Mg  0.0000  0.0000  0.0000
Be  0.0000  0.0000  0.5000
Be  0.2500  0.2500  0.7500
Sb  0.2500  0.2500  0.2500

Results
excess energy over the best structure of this formula in the dataset = 481 meV/atom

---

28.
The following is a DFT calculation (PBE) of a geometry-optimized MgBeSb structure.

a b c (Å): 4.4572 3.8073 7.7767
angles (deg): 90.00 106.09 90.00
Space group Pm (No. 6)
One atom of each set of equivalent atoms:
Mg  0.0000  0.0000  0.0000
Mg  0.2573  0.5000  0.5339
Be  0.4034  0.0000  0.3161
Be  0.9024  0.0000  0.3167
Sb  0.5639  0.5000  0.1309
Sb  0.7987  0.0000  0.6202

Results
excess energy over the best structure of this formula in the dataset = 70 meV/atom